Entry from the Alexandria database: crystalline Tm12In3H5 at its relaxed geometry (PBE).

Output
N(E_F)	0.7564	states/eV/atom
VASP energy	-4.154	eV per atom

Cell lengths 13.3051, 13.3051, 13.3051 Å; angles 109.47, 109.47, 109.47 degrees
Last column: nearest neighbours and their distance in Å.
Atoms (fractional coordinates):
Tm 0.0113 0.2039 0.1076  1 H 2.16
Tm 0.0113 0.3074 0.9037  1 H 2.16
Tm 0.0963 0.6076 0.4036  1 H 2.16
Tm 0.0964 0.7039 0.6926  1 H 2.16
Tm 0.0964 0.8924 0.4037  1 H 2.16
Tm 0.0963 0.9887 0.6926  1 H 2.16
Tm 0.1076 0.0113 0.2039  1 H 2.16
Tm 0.1076 0.5963 0.9036  1 H 2.16
Tm 0.1926 0.2039 0.5964  1 H 2.16
Tm 0.1926 0.4887 0.5963  1 H 2.16
Tm 0.2039 0.1076 0.0113  1 H 2.16
Tm 0.2039 0.5964 0.1926  1 H 2.16
Tm 0.2961 0.3074 0.9036  1 H 2.16
Tm 0.2961 0.4887 0.3924  1 H 2.16
Tm 0.3074 0.9037 0.0113  1 H 2.16
Tm 0.3074 0.9036 0.2961  1 H 2.16
Tm 0.3924 0.2961 0.4887  1 H 2.16
Tm 0.3924 0.5964 0.9037  1 H 2.16
Tm 0.4036 0.0963 0.6076  1 H 2.16
Tm 0.4037 0.0964 0.8924  1 H 2.16
Tm 0.4037 0.8074 0.5113  1 H 2.16
Tm 0.4036 0.8074 0.7961  1 H 2.16
Tm 0.4887 0.3924 0.2961  1 H 2.16
Tm 0.4887 0.5963 0.1926  1 H 2.16
Tm 0.5113 0.4037 0.8074  1 H 2.16
Tm 0.5113 0.6076 0.7039  1 H 2.16
Tm 0.5964 0.1926 0.2039  1 H 2.16
Tm 0.5963 0.1926 0.4887  1 H 2.16
Tm 0.5963 0.9036 0.1076  1 H 2.16
Tm 0.5964 0.9037 0.3924  1 H 2.16
Tm 0.6076 0.4036 0.0963  1 H 2.16
Tm 0.6076 0.7039 0.5113  1 H 2.16
Tm 0.6926 0.0964 0.7039  1 H 2.16
Tm 0.6926 0.0963 0.9887  1 H 2.16
Tm 0.7039 0.5113 0.6076  1 H 2.16
Tm 0.7039 0.6926 0.0964  1 H 2.16
Tm 0.7961 0.4036 0.8074  1 H 2.16
Tm 0.7961 0.8924 0.9887  1 H 2.16
Tm 0.8074 0.5113 0.4037  1 H 2.16
Tm 0.8074 0.7961 0.4036  1 H 2.16
Tm 0.8924 0.4037 0.0964  1 H 2.16
Tm 0.8924 0.9887 0.7961  1 H 2.16
Tm 0.9037 0.0113 0.3074  1 H 2.16
Tm 0.9036 0.1076 0.5963  1 H 2.16
Tm 0.9036 0.2961 0.3074  1 H 2.16
Tm 0.9037 0.3924 0.5964  1 H 2.16
Tm 0.9887 0.6926 0.0963  1 H 2.16
Tm 0.9887 0.7961 0.8924  1 H 2.16
In 0.1250 0.2500 0.3750  8 Tm 3.11
In 0.1250 0.3750 0.7500  8 Tm 3.11
In 0.2500 0.3750 0.1250  8 Tm 3.11
In 0.2500 0.8750 0.6250  8 Tm 3.11
In 0.3750 0.1250 0.2500  8 Tm 3.11
In 0.3750 0.7500 0.1250  8 Tm 3.11
In 0.6250 0.2500 0.8750  8 Tm 3.11
In 0.6250 0.8750 0.7500  8 Tm 3.11
In 0.7500 0.1250 0.3750  8 Tm 3.11
In 0.7500 0.6250 0.8750  8 Tm 3.11
In 0.8750 0.6250 0.2500  8 Tm 3.11
In 0.8750 0.7500 0.6250  8 Tm 3.11
H 0.0000 0.0000 0.0000  6 Tm 2.54
H 0.0000 0.0000 0.5000  6 Tm 2.54
H 0.0000 0.5000 0.0000  6 Tm 2.54
H 0.0000 0.5000 0.5000  6 Tm 2.54
H 0.1250 0.7500 0.8750  4 Tm 2.16
H 0.1250 0.8750 0.2500  4 Tm 2.16
H 0.2500 0.1250 0.8750  4 Tm 2.16
H 0.2500 0.6250 0.3750  4 Tm 2.16
H 0.3750 0.2500 0.6250  4 Tm 2.16
H 0.3750 0.6250 0.7500  4 Tm 2.16
H 0.5000 0.0000 0.0000  6 Tm 2.54
H 0.5000 0.0000 0.5000  6 Tm 2.54
H 0.5000 0.5000 0.0000  6 Tm 2.54
H 0.5000 0.5000 0.5000  6 Tm 2.54
H 0.6250 0.3750 0.2500  4 Tm 2.16
H 0.6250 0.7500 0.3750  4 Tm 2.16
H 0.7500 0.3750 0.6250  4 Tm 2.16
H 0.7500 0.8750 0.1250  4 Tm 2.16
H 0.8750 0.1250 0.7500  4 Tm 2.16
H 0.8750 0.2500 0.1250  4 Tm 2.16

Entry from the Alexandria database: crystalline Tm4InH at its relaxed geometry (PBE).

Output
N(E_F)	0.9153	states/eV/atom
VASP energy	-4.226	eV per atom

Cell lengths 6.0350, 6.5880, 8.0201 Å; angles 75.10, 67.95, 89.98 degrees
Last column: nearest neighbours and their distance in Å.
Atoms (fractional coordinates):
Tm 0.0217 0.4427 0.2987  1 H 2.38
Tm 0.1799 0.9426 0.2992  1 H 2.38
Tm 0.2209 0.8552 0.8860  2 H 2.47-2.49
Tm 0.3934 0.3551 0.8859  2 H 2.46-2.49
Tm 0.6066 0.6449 0.1141  2 H 2.46-2.49
Tm 0.7791 0.1448 0.1140  2 H 2.47-2.49
Tm 0.8201 0.0574 0.7008  1 H 2.38
Tm 0.9783 0.5573 0.7013  1 H 2.38
In 0.4085 0.2501 0.5001  10 Tm 3.30-3.52, 2 In 3.47-3.48
In 0.5915 0.7499 0.4999  10 Tm 3.30-3.52, 2 In 3.47-3.48
H 0.0000 0.5000 0.0000  6 Tm 2.38-2.49
H 0.5000 0.0000 0.0000  6 Tm 2.38-2.49

Entry from the Alexandria database: crystalline Tm2InH at its relaxed geometry (PBE).

Output
relative energy among the computed polymorphs	0.45	eV/f.u.
N(E_F)	0.7999	states/eV/atom
VASP energy	-4.077	eV per atom

Cell lengths 7.9837, 7.9837, 7.9837 Å; angles 25.56, 25.56, 25.56 degrees
Last column: nearest neighbours and their distance in Å.
Atoms (fractional coordinates):
Tm 0.2247 0.2247 0.2247  3 H 2.44
Tm 0.7753 0.7753 0.7753  3 H 2.44
In 0.0000 0.0000 0.0000  6 Tm 3.24, 6 In 3.53
H 0.5000 0.5000 0.5000  6 Tm 2.44

Entry from the Alexandria database: crystalline Tm3InH at its relaxed geometry (PBE).

Output
N(E_F)	0.8192	states/eV/atom
VASP energy	-4.179	eV per atom

Cell lengths 8.3396, 6.1991, 8.8647 Å; angles 90.00, 101.74, 90.00 degrees
Last column: nearest neighbours and their distance in Å.
Atoms (fractional coordinates):
Tm 0.0676 0.0760 0.1804  3 H 2.46-2.49
Tm 0.0676 0.4240 0.6804  3 H 2.46-2.49
Tm 0.2006 0.6017 0.0511  2 H 2.42-2.50
Tm 0.2006 0.8983 0.5511  2 H 2.42-2.50
Tm 0.3222 0.1070 0.9264  1 H 2.35
Tm 0.3222 0.3930 0.4264  1 H 2.35
Tm 0.6778 0.6070 0.5736  1 H 2.35
Tm 0.6778 0.8930 0.0736  1 H 2.35
Tm 0.7994 0.1017 0.4489  2 H 2.42-2.50
Tm 0.7994 0.3983 0.9489  2 H 2.42-2.50
Tm 0.9324 0.5760 0.3196  3 H 2.46-2.49
Tm 0.9324 0.9240 0.8196  3 H 2.46-2.49
In 0.4338 0.6083 0.8062  8 Tm 3.18-3.47, 2 In 3.50
In 0.4338 0.8917 0.3062  8 Tm 3.18-3.47, 2 In 3.50
In 0.5662 0.1083 0.6938  8 Tm 3.18-3.47, 2 In 3.50
In 0.5662 0.3917 0.1938  8 Tm 3.18-3.47, 2 In 3.50
H 0.0673 0.2386 0.4353  6 Tm 2.35-2.50
H 0.0673 0.2614 0.9353  6 Tm 2.35-2.50
H 0.9327 0.7386 0.0647  6 Tm 2.35-2.50
H 0.9327 0.7614 0.5647  6 Tm 2.35-2.50

Entry from the Alexandria database: crystalline Tm6In3H at its relaxed geometry (PBE).

Output
N(E_F)	0.6721	states/eV/atom
VASP energy	-4.208	eV per atom

Cell lengths 10.0112, 10.0112, 5.2740 Å; angles 90.00, 90.00, 111.41 degrees
Last column: nearest neighbours and their distance in Å.
Atoms (fractional coordinates):
Tm 0.0875 0.9125 0.5000  1 H 2.18
Tm 0.0969 0.5512 0.4989  1 H 2.21
Tm 0.2383 0.7617 0.9866  1 H 2.25
Tm 0.2450 0.4128 0.0013  6 In 3.27-3.31, 4 Tm 3.52-3.57
Tm 0.4128 0.2450 0.5013  6 In 3.27-3.31, 4 Tm 3.52-3.57
Tm 0.4488 0.9031 0.4989  1 H 2.21
Tm 0.5512 0.0969 0.9989  1 H 2.21
Tm 0.5871 0.7550 0.0013  6 In 3.27-3.31, 4 Tm 3.52-3.57
Tm 0.7550 0.5871 0.5013  6 In 3.27-3.31, 4 Tm 3.52-3.57
Tm 0.7617 0.2383 0.4866  1 H 2.25
Tm 0.9031 0.4488 0.9989  1 H 2.21
Tm 0.9125 0.0875 0.0000  1 H 2.18
In 0.0809 0.2333 0.5010  8 Tm 3.13-3.28
In 0.2333 0.0809 0.0010  8 Tm 3.13-3.28
In 0.4215 0.5785 0.5014  8 Tm 3.16-3.31, 1 H 3.39
In 0.5785 0.4215 0.0014  8 Tm 3.16-3.31, 1 H 3.39
In 0.7667 0.9191 0.5010  8 Tm 3.13-3.28
In 0.9191 0.7667 0.0010  8 Tm 3.13-3.28
H 0.2175 0.7825 0.5645  4 Tm 2.18-2.25
H 0.7825 0.2175 0.0645  4 Tm 2.18-2.25

Entry from the Alexandria database: crystalline Tm2InH at its relaxed geometry (PBE).

Output
relative energy among the computed polymorphs	0.00	eV/f.u.
N(E_F)	0.4436	states/eV/atom
VASP energy	-4.190	eV per atom

Cell lengths 4.4872, 4.4872, 8.3394 Å; angles 90.00, 90.00, 90.00 degrees
Last column: nearest neighbours and their distance in Å.
Atoms (fractional coordinates):
Tm 0.2500 0.2500 0.1548  1 H 2.22
Tm 0.2500 0.7500 0.5000  4 H 2.34
Tm 0.7500 0.2500 0.5000  4 H 2.34
Tm 0.7500 0.7500 0.8452  1 H 2.22
In 0.2500 0.2500 0.7787  1 H 2.98, 9 Tm 3.14-3.23
In 0.7500 0.7500 0.2213  1 H 2.98, 9 Tm 3.14-3.23
H 0.2500 0.2500 0.4210  5 Tm 2.22-2.34
H 0.7500 0.7500 0.5790  5 Tm 2.22-2.34

Entry from the Alexandria database: crystalline TmInH at its relaxed geometry (PBE).

Output
relative energy among the computed polymorphs	0.81	eV/f.u.
N(E_F)	0.5701	states/eV/atom
VASP energy	-3.698	eV per atom

Cell lengths 6.1706, 6.1706, 6.1706 Å; angles 150.44, 150.44, 42.29 degrees
Last column: nearest neighbours and their distance in Å.
Atoms (fractional coordinates):
Tm 0.0000 0.0000 0.0000  4 H 2.27
In 0.2763 0.2763 0.0000  1 H 3.00, 4 In 3.15, 1 Tm 3.18
H 0.5367 0.5367 0.0000  4 Tm 2.27

Entry from the Alexandria database: crystalline UInH2 at its relaxed geometry (PBE).

Output
N(E_F)	1.1109	states/eV/atom
VASP energy	-5.254	eV per atom

Cell lengths 5.7008, 5.7008, 5.7008 Å; angles 36.78, 36.78, 36.78 degrees
Last column: nearest neighbours and their distance in Å.
Atoms (fractional coordinates):
U 0.0000 0.0000 0.0000  6 H 2.14
In 0.5000 0.5000 0.5000  8 H 2.98-3.17
H 0.3008 0.3008 0.3008  3 U 2.14, 3 H 2.32
H 0.6992 0.6992 0.6992  3 U 2.14, 3 H 2.32

Entry from the Alexandria database: crystalline VInH2 at its relaxed geometry (PBE).

Output
relative energy among the computed polymorphs	2.89	eV/f.u.
N(E_F)	1.1059	states/eV/atom
VASP energy	-3.881	eV per atom

Cell lengths 3.9554, 3.9554, 3.9554 Å; angles 60.00, 60.00, 60.00 degrees
Last column: nearest neighbours and their distance in Å.
Atoms (fractional coordinates):
V 0.0000 0.0000 0.0000  8 H 2.42
In 0.5000 0.5000 0.5000  8 H 2.42
H 0.2500 0.2500 0.2500  4 In 2.42, 4 V 2.42
H 0.7500 0.7500 0.7500  4 V 2.42, 4 In 2.42

Entry from the Alexandria database: crystalline VInH2 at its relaxed geometry (PBE).

Output
relative energy among the computed polymorphs	0.00	eV/f.u.
N(E_F)	0.7907	states/eV/atom
VASP energy	-4.604	eV per atom

Cell lengths 5.4157, 5.4157, 5.4157 Å; angles 32.82, 32.82, 32.82 degrees
Last column: nearest neighbours and their distance in Å.
Atoms (fractional coordinates):
V 0.0000 0.0000 0.0000  6 H 1.84
In 0.5000 0.5000 0.5000  6 H 2.70
H 0.2997 0.2997 0.2997  3 V 1.84, 3 H 2.05
H 0.7003 0.7003 0.7003  3 V 1.84, 3 H 2.05

Entry from the Alexandria database: crystalline VIn2H at its relaxed geometry (PBE).

Output
relative energy among the computed polymorphs	0.86	eV/f.u.
N(E_F)	0.9434	states/eV/atom
VASP energy	-3.700	eV per atom

Cell lengths 4.6818, 4.6818, 4.6818 Å; angles 60.00, 60.00, 60.00 degrees
Last column: nearest neighbours and their distance in Å.
Atoms (fractional coordinates):
V 0.0000 0.0000 0.0000  8 In 2.87
In 0.2500 0.2500 0.2500  4 H 2.87, 4 V 2.87
In 0.7500 0.7500 0.7500  4 V 2.87, 4 H 2.87
H 0.5000 0.5000 0.5000  8 In 2.87

Entry from the Alexandria database: crystalline V2InH4 at its relaxed geometry (PBE).

Output
N(E_F)	0.7261	states/eV/atom
VASP energy	-4.059	eV per atom

Cell lengths 6.0419, 6.0419, 6.0419 Å; angles 142.72, 142.72, 53.74 degrees
Last column: nearest neighbours and their distance in Å.
Atoms (fractional coordinates):
V 0.1388 0.1388 0.0000  1 H 1.79
V 0.8612 0.8612 0.0000  1 H 1.79
In 0.5000 0.5000 0.0000  6 H 1.93-2.10
H 0.0000 0.5000 0.5000  2 In 1.93
H 0.3051 0.3051 0.0000  1 V 1.79
H 0.5000 0.0000 0.5000  2 In 1.93
H 0.6949 0.6949 0.0000  1 V 1.79